DFT (PBE-GGA) results for crystalline Ac3Pm4Dy at its relaxed geometry.

## Properties
The raw total energy comes out at -4.449 eV/atom. As for the symmetry: Pmmn, No. 59. The formation energy from the elements comes out at 0.04 eV/atom.

Structure (CIF):
```
data_Ac3Pm4Dy
_chemical_formula_sum 'Ac6 Pm8 Dy2'
_cell_length_a 5.334
_cell_length_b 10.637
_cell_length_c 10.640
_cell_angle_alpha 90.00
_cell_angle_beta 90.00
_cell_angle_gamma 90.00
_space_group_name_H-M_alt 'P 1'
_space_group_IT_number 1
loop_
_space_group_symop_operation_xyz
'x,y,z'
loop_
_atom_site_label
_atom_site_type_symbol
_atom_site_fract_x
_atom_site_fract_y
_atom_site_fract_z
_atom_site_occupancy
Ac1 Ac 0.564 0.632 0.000 1
Ac2 Ac 0.064 0.633 0.255 1
Ac3 Ac 0.564 0.367 0.245 1
Ac4 Ac 0.064 0.368 0.500 1
Ac5 Ac 0.564 0.367 0.755 1
Ac6 Ac 0.064 0.633 0.745 1
Dy1 Dy 0.064 0.363 0.000 1
Dy2 Dy 0.564 0.637 0.500 1
Pm1 Pm 0.064 0.885 0.000 1
Pm2 Pm 0.564 0.119 0.000 1
Pm3 Pm 0.064 0.117 0.246 1
Pm4 Pm 0.564 0.883 0.254 1
Pm5 Pm 0.064 0.881 0.500 1
Pm6 Pm 0.564 0.115 0.500 1
Pm7 Pm 0.564 0.883 0.746 1
Pm8 Pm 0.064 0.117 0.754 1
```

DFT (PBE-GGA) results for crystalline Cd2TcTe at its relaxed geometry.

## Properties
The raw total energy comes out at -3.502 eV/atom. As for the symmetry: Cm, No. 8. Its energy relative to the elements, uncorrected is 0.33 eV/atom.

Structure (CIF):
```
data_Cd2TcTe
_chemical_formula_sum 'Cd2 Tc1 Te1'
_cell_length_a 5.033
_cell_length_b 5.033
_cell_length_c 5.417
_cell_angle_alpha 79.04
_cell_angle_beta 79.04
_cell_angle_gamma 38.84
_space_group_name_H-M_alt 'P 1'
_space_group_IT_number 1
loop_
_space_group_symop_operation_xyz
'x,y,z'
loop_
_atom_site_label
_atom_site_type_symbol
_atom_site_fract_x
_atom_site_fract_y
_atom_site_fract_z
_atom_site_occupancy
Cd1 Cd 0.006 0.006 0.968 1
Cd2 Cd 0.764 0.764 0.749 1
Tc1 Tc 0.506 0.506 0.475 1
Te1 Te 0.224 0.224 0.308 1
```

DFT (PBE-GGA) results for crystalline EuIn2Hg at its relaxed geometry.

## Properties
The raw total energy comes out at -4.263 eV/atom. As for the symmetry: P4/mmm, No. 123. The formation energy from the elements comes out at -0.25 eV/atom.

Structure (CIF):
```
data_EuIn2Hg
_chemical_formula_sum 'Eu1 In2 Hg1'
_cell_length_a 3.854
_cell_length_b 3.854
_cell_length_c 7.463
_cell_angle_alpha 90.00
_cell_angle_beta 90.00
_cell_angle_gamma 90.00
_space_group_name_H-M_alt 'P 1'
_space_group_IT_number 1
loop_
_space_group_symop_operation_xyz
'x,y,z'
loop_
_atom_site_label
_atom_site_type_symbol
_atom_site_fract_x
_atom_site_fract_y
_atom_site_fract_z
_atom_site_occupancy
Eu1 Eu 0.500 0.500 0.500 1
Hg1 Hg 0.500 0.500 0.000 1
In1 In 0.000 0.000 0.788 1
In2 In 0.000 0.000 0.212 1
```

DFT (PBE-GGA) results for crystalline LaCuNi at its relaxed geometry.

## Properties
The raw total energy comes out at -5.034 eV/atom. As for the symmetry: Cmcm, No. 63. The formation energy from the elements comes out at -0.10 eV/atom.

Structure (CIF):
```
data_LaCuNi
_chemical_formula_sum 'La2 Cu2 Ni2'
_cell_length_a 4.784
_cell_length_b 3.985
_cell_length_c 7.160
_cell_angle_alpha 73.84
_cell_angle_beta 90.00
_cell_angle_gamma 90.00
_space_group_name_H-M_alt 'P 1'
_space_group_IT_number 1
loop_
_space_group_symop_operation_xyz
'x,y,z'
loop_
_atom_site_label
_atom_site_type_symbol
_atom_site_fract_x
_atom_site_fract_y
_atom_site_fract_z
_atom_site_occupancy
La1 La 0.750 0.625 0.750 1
La2 La 0.250 0.375 0.250 1
Ni1 Ni 0.500 0.000 0.000 1
Ni2 Ni 0.000 0.000 0.000 1
Cu1 Cu 0.750 0.848 0.305 1
Cu2 Cu 0.250 0.152 0.695 1
```